1.
{"formula": "TaAu2", "functional": "PBE", "state": "optimized geometry", "total_energy_ev_per_cell": -18.31, "sg": "No. 164", "dos_at_fermi_per_ev_atom": 0.654, "cell": [[-1.7232, 0.6095, -2.3142], [-1.0784, -1.5294, 2.2791], [-2.0498, 6.1227, 3.1388]], "species": ["Ta", "Au", "Au"], "frac_coords": [[0.6667, 0.3333, 0.3333], [0.0000, 0.0000, 0.0066], [0.3333, 0.6667, 0.6601]]}

***

2.
{"formula": "TaAu3", "functional": "PBE", "state": "optimized geometry", "total_energy_ev_per_cell": -21.74, "sg": "No. 187", "dos_at_fermi_per_ev_atom": 0.416, "cell": [[2.9709, 0.0000, 0.0000], [-1.4854, 2.5728, 0.0000], [0.0000, 0.0000, 9.4562]], "species": ["Au", "Au", "Au", "Ta"], "frac_coords": [[0.3333, 0.6667, 0.2500], [0.0000, 0.0000, 0.9918], [0.0000, 0.0000, 0.5082], [0.3333, 0.6667, 0.7500]]}

***

3.
{"formula": "TaAu2", "functional": "PBE", "state": "optimized geometry", "total_energy_ev_per_cell": -52.25, "sg": "No. 189", "dos_at_fermi_per_ev_atom": 0.563, "cell": [[3.4286, -5.9386, 0.0000], [3.4286, 5.9386, 0.0000], [0.0000, 0.0000, 4.2896]], "species": ["Au", "Au", "Au", "Au", "Au", "Au", "Ta", "Ta", "Ta"], "frac_coords": [[0.2495, 0.0000, 0.0000], [0.0000, 0.5903, 0.5000], [0.7505, 0.7505, 0.0000], [0.5903, 0.0000, 0.5000], [0.0000, 0.2495, 0.0000], [0.4097, 0.4097, 0.5000], [0.6667, 0.3333, 0.0000], [0.3333, 0.6667, 0.0000], [0.0000, 0.0000, 0.5000]]}

***

4.
{"formula": "Ta2Au", "functional": "PBE", "state": "optimized geometry", "total_energy_ev_per_cell": -52.98, "sg": "No. 141", "dos_at_fermi_per_ev_atom": 0.488, "cell": [[-1.4515, 1.4515, 13.2520], [1.4515, -1.4515, 13.2520], [1.4515, 1.4515, -13.2520]], "species": ["Au", "Au", "Ta", "Ta", "Ta", "Ta"], "frac_coords": [[0.7500, 0.2500, 0.5000], [0.0000, 0.0000, 0.0000], [0.3301, 0.8301, 0.5000], [0.1699, 0.6699, 0.5000], [0.4199, 0.4199, 0.0000], [0.5801, 0.5801, 0.0000]]}

***

5.
{"formula": "Ta2Au", "functional": "PBE", "state": "optimized geometry", "total_energy_ev_per_cell": -51.72, "sg": "No. 227", "dos_at_fermi_per_ev_atom": 1.081, "cell": [[0.0000, 3.8402, 3.8402], [3.8402, 0.0000, 3.8402], [3.8402, 3.8402, 0.0000]], "species": ["Au", "Au", "Ta", "Ta", "Ta", "Ta"], "frac_coords": [[0.7500, 0.7500, 0.7500], [0.5000, 0.5000, 0.5000], [0.1250, 0.1250, 0.6250], [0.6250, 0.1250, 0.1250], [0.1250, 0.6250, 0.1250], [0.1250, 0.1250, 0.1250]]}

***

6.
{"formula": "TaAu3", "functional": "PBE", "state": "optimized geometry", "total_energy_ev_per_cell": -21.60, "sg": "No. 12", "dos_at_fermi_per_ev_atom": 0.643, "cell": [[-4.3516, 1.8769, 1.6302], [-4.9660, 0.1832, -0.6496], [9.4727, -6.2295, 2.0752]], "species": ["Au", "Au", "Au", "Ta"], "frac_coords": [[0.0000, 0.0000, 0.7500], [0.9847, 0.9847, 0.4903], [0.0153, 0.0153, 0.0097], [0.0000, 0.0000, 0.2500]]}